Material: HWO
Method: DFT, PBE with a Hubbard U
State: optimized geometry

a b c (Å): 2.934 3.139 4.749
angles (deg): 70.90 89.97 62.34
Space group P1 (No. 1)
Inequivalent atoms, fractional coordinates:
H  0.000  0.000  0.000 (multiplicity 1)
W  0.746  0.511  0.223 (multiplicity 1)
O  0.511  0.981  0.476 (multiplicity 1)

Calculated values
Size of the total moment ... 1.003 μB per cell
Energy above the lowest structure with this stoichiometry ... 94 meV/atom